No. 1
Below is GdHoTl after structural relaxation, with properties calculated at the PBE level.

Computed properties:
distance to the lowest polymorph of the same formula: 0 meV/atom
DFT total energy: -7.242 eV/atom
volume: 88.2 Å³/f.u.
N(E_F): 3.3 states/eV/f.u.

a = 3.6749 Å, b = 3.6749 Å, c = 7.0294 Å
α = 105.15°, β = 105.15°, γ = 90.00°
Atoms (fractional coordinates):
Tl  0.9526  0.9526  0.9052
Gd  0.2915  0.2915  0.5830
Ho  0.6059  0.6059  0.2117



No. 2
Below is KSr2Re after structural relaxation, with properties calculated at the PBE level.

Computed properties:
distance to the lowest polymorph of the same formula: 418 meV/atom
DFT total energy: -2.990 eV/atom
volume: 138.5 Å³/f.u.
N(E_F): 6.2 states/eV/f.u.

a = 6.5052 Å, b = 6.5052 Å, c = 6.5052 Å
α = 134.37°, β = 134.37°, γ = 66.52°
Atoms (fractional coordinates):
K  0.5000  0.5000  0.0000
Re  0.7500  0.2500  0.5000
Sr  0.0000  0.0000  0.0000
Sr  0.2500  0.7500  0.5000